Run a
DFT (PBE-GGA) results for a geometry-optimized AgAs2Ru structure.

Computed properties:
spin magnetization	0.00	μB/f.u.
calculated volume	18.0	Å³ per atom

Geometry as extended XYZ:
```
4
Lattice="2.983 0.000 0.000 0.000 2.983 0.000 0.000 0.000 8.114" Properties=species:S:1:pos:R:3 pbc="T T T"
Ru 0.000 0.000 3.873
As 0.000 0.000 7.908
As 1.491 1.491 2.561
Ag 1.491 1.491 5.943
```


Run b
DFT (PBE-GGA) results for a geometry-optimized AgAs2Ru structure.

Computed properties:
spin magnetization	0.00	μB/f.u.
calculated volume	16.6	Å³ per atom

Geometry as extended XYZ:
```
4
Lattice="7.223 -0.011 -0.024 -2.906 3.517 0.033 1.412 1.145 2.615" Properties=species:S:1:pos:R:3 pbc="T T T"
Ag 2.159 1.753 0.005
As 0.000 0.000 0.000
As 4.317 0.567 1.296
Ru -0.747 2.331 1.324
```


Run c
DFT (PBE-GGA) results for a geometry-optimized AgAs2Ru structure.

Computed properties:
spin magnetization	0.00	μB/f.u.
calculated volume	18.9	Å³ per atom

Geometry as extended XYZ:
```
4
Lattice="-3.330 0.242 2.963 -4.233 -1.308 0.540 0.185 -5.292 3.318" Properties=species:S:1:pos:R:3 pbc="T T T"
As -7.215 -6.311 6.730
As -6.077 -3.957 4.799
Ru -3.775 -4.116 4.042
Ag -1.379 -1.512 1.482
```


Run d
DFT (PBE-GGA) results for a geometry-optimized AgAs2Ru structure.

Computed properties:
spin magnetization	0.00	μB/f.u.
calculated volume	23.4	Å³ per atom

Geometry as extended XYZ:
```
8
Lattice="-4.130 4.234 0.471 -4.223 -3.983 -1.229 -4.679 -0.941 4.801" Properties=species:S:1:pos:R:3 pbc="T T T"
As -4.113 1.743 1.322
As -6.812 -0.772 3.267
As -4.492 -2.025 0.510
As -10.648 -0.325 2.987
Ag 0.000 0.000 0.000
Ag -6.493 1.709 2.446
Ru -4.177 0.125 -0.379
Ru -6.539 -2.399 1.596
```


How do the energies compare? Relative to the most stable structure, in kJ/mol of atoms: run a 14.1; run b 25.7; run c 0.0; run d 17.1.


Run a
DFT (PBE-GGA) results for a geometry-optimized AgAs2Ru structure.

Computed properties:
spin magnetization	0.00	μB/f.u.
calculated volume	17.4	Å³ per atom

Geometry as extended XYZ:
```
4
Lattice="-2.961 0.326 0.410 0.117 -1.882 2.342 1.306 5.941 4.709" Properties=species:S:1:pos:R:3 pbc="T T T"
As 0.594 2.703 2.142
As 0.059 0.268 0.212
Ag -0.443 3.677 4.908
Ru -1.096 0.707 2.553
```


Run b
DFT (PBE-GGA) results for a geometry-optimized AgAs2Ru structure.

Computed properties:
spin magnetization	0.00	μB/f.u.
calculated volume	17.5	Å³ per atom

Geometry as extended XYZ:
```
4
Lattice="-3.019 -3.748 0.957 1.096 -1.539 -2.570 3.418 -2.269 1.900" Properties=species:S:1:pos:R:3 pbc="T T T"
As 1.087 -1.468 -2.320
As -0.140 -3.107 -0.033
Ag 2.039 -4.945 -0.351
Ru 1.862 -1.479 0.085
```


Run c
DFT (PBE-GGA) results for a geometry-optimized AgAs2Ru structure.

Computed properties:
spin magnetization	0.00	μB/f.u.
calculated volume	16.9	Å³ per atom

Geometry as extended XYZ:
```
4
Lattice="-0.816 0.703 -4.444 2.738 -1.866 -3.151 -1.526 -3.427 -2.615" Properties=species:S:1:pos:R:3 pbc="T T T"
Ru 0.297 -3.442 -7.657
Ag 0.198 -2.295 -5.105
As 0.000 0.000 0.000
As 0.099 -1.147 -2.552
```


Run d
DFT (PBE-GGA) results for a geometry-optimized AgAs2Ru structure.

Computed properties:
spin magnetization	0.00	μB/f.u.
calculated volume	17.3	Å³ per atom

Geometry as extended XYZ:
```
4
Lattice="4.348 -0.003 0.009 3.244 2.895 0.009 0.976 0.372 5.493" Properties=species:S:1:pos:R:3 pbc="T T T"
Ag 2.142 0.816 1.377
As 4.187 1.595 2.971
As 1.072 0.409 5.276
Ru 6.425 2.448 4.132
```


How do the energies compare? Relative to the most stable structure, in kJ/mol of atoms: run a 0.0; run b 12.3; run c 50.8; run d 7.1.


Run a
DFT (PBE-GGA) results for a geometry-optimized Ag3AsRu structure.

Computed properties:
spin magnetization	2.77	μB/f.u.
calculated volume	25.5	Å³ per atom

Geometry as extended XYZ:
```
5
Lattice="5.032 0.000 0.000 0.000 5.032 0.000 0.000 0.000 5.032" Properties=species:S:1:pos:R:3 pbc="T T T"
Ru 0.000 0.000 0.000
Ag 0.000 0.000 2.516
Ag 0.000 2.516 0.000
Ag 2.516 0.000 0.000
As 2.516 2.516 2.516
```


Run b
DFT (PBE-GGA) results for a geometry-optimized Ag3AsRu structure.

Computed properties:
spin magnetization	2.18	μB/f.u.
calculated volume	22.2	Å³ per atom

Geometry as extended XYZ:
```
5
Lattice="-3.190 -0.819 3.504 3.069 -3.064 2.078 1.879 3.615 2.555" Properties=species:S:1:pos:R:3 pbc="T T T"
Ru 0.879 -0.134 4.069
Ag 0.940 1.808 1.278
Ag 1.535 -1.532 1.039
Ag -1.595 -0.409 1.752
As 0.000 0.000 0.000
```


How do the energies compare? Relative to the most stable structure, in kJ/mol of atoms: run a 37.3; run b 0.0.


Run a
DFT (PBE-GGA) results for a geometry-optimized AgAsS4 structure.

Computed properties:
spin magnetization	0.00	μB/f.u.
calculated volume	22.6	Å³ per atom

Geometry as extended XYZ:
```
6
Lattice="3.437 0.000 0.000 -1.719 6.584 0.386 0.000 -3.005 5.812" Properties=species:S:1:pos:R:3 pbc="T T T"
S 1.719 3.448 3.793
S 0.000 1.904 6.078
S 0.000 0.131 2.405
S 1.719 1.675 0.120
Ag 1.719 -1.502 2.906
As 0.000 0.000 0.000
```


Run b
DFT (PBE-GGA) results for a geometry-optimized AgAsS4 structure.

Computed properties:
spin magnetization	0.00	μB/f.u.
calculated volume	31.5	Å³ per atom

Geometry as extended XYZ:
```
12
Lattice="6.709 -1.736 -0.611 -5.630 5.785 -1.637 1.666 2.964 11.169" Properties=species:S:1:pos:R:3 pbc="T T T"
S -1.636 4.644 3.074
S 4.816 -0.489 0.187
S 4.381 2.369 5.847
S 3.327 4.599 8.990
S -0.583 2.414 -0.069
S -2.072 7.502 8.734
S 2.221 4.913 5.058
S 0.524 2.100 3.864
As -0.280 3.997 4.727
As 3.025 3.016 4.194
Ag 3.072 2.318 7.989
Ag -0.327 4.695 0.932
```


How do the energies compare? Relative to the most stable structure, in kJ/mol of atoms: run a 7.1; run b 0.0.


Run a
DFT (PBE-GGA) results for a geometry-optimized Ag7AsS6 structure.

Computed properties:
spin magnetization	0.00	μB/f.u.
calculated volume	22.6	Å³ per atom

Geometry as extended XYZ:
```
28
Lattice="6.018 0.000 2.258 2.954 9.911 1.274 -0.473 -0.225 10.407" Properties=species:S:1:pos:R:3 pbc="T T T"
Ag 3.453 3.604 10.109
Ag 4.543 9.712 2.074
Ag 6.271 3.040 11.747
Ag 5.972 5.042 7.412
Ag 2.125 2.422 3.485
Ag 0.992 1.014 7.519
Ag 4.307 8.108 5.801
Ag 2.527 4.644 6.528
Ag 3.957 -0.026 11.865
Ag 7.507 8.673 6.421
Ag 6.374 7.265 10.455
Ag 2.229 6.647 2.192
Ag 5.046 6.082 3.830
Ag 4.192 1.579 8.139
S 6.281 8.337 4.141
S 8.176 9.086 11.055
S 3.959 7.124 11.489
S 0.323 0.601 2.884
S 3.263 2.281 5.853
S 2.624 6.418 4.741
S 6.390 4.243 5.010
S 5.876 3.269 9.199
S 2.109 5.444 8.930
S 4.540 2.562 2.451
S 5.236 7.405 8.087
S 2.218 1.350 9.798
As 3.366 7.265 9.326
As 5.134 2.422 4.614
```


Run b
DFT (PBE-GGA) results for a geometry-optimized Ag7AsS6 structure.

Computed properties:
spin magnetization	0.00	μB/f.u.
calculated volume	21.3	Å³ per atom

Geometry as extended XYZ:
```
56
Lattice="10.611 0.000 0.000 0.000 10.611 0.000 0.000 0.000 10.611" Properties=species:S:1:pos:R:3 pbc="T T T"
Ag 7.798 7.880 5.005
Ag 6.894 3.431 5.431
Ag 2.730 10.310 8.118
Ag 7.180 0.126 9.022
Ag 8.036 5.606 2.492
Ag 8.736 10.485 3.717
Ag 3.717 8.736 10.485
Ag 5.179 1.589 1.875
Ag 10.310 8.118 2.730
Ag 1.875 5.179 1.589
Ag 9.535 1.076 6.381
Ag 2.813 2.575 0.301
Ag 5.431 6.894 3.431
Ag 4.229 4.229 4.229
Ag 7.880 5.005 7.798
Ag 0.301 2.813 2.575
Ag 5.606 2.492 8.036
Ag 1.589 1.875 5.179
Ag 0.126 9.022 7.180
Ag 10.485 3.717 8.736
Ag 9.022 7.180 0.126
Ag 2.492 8.036 5.606
Ag 5.005 7.798 7.880
Ag 2.575 0.301 2.813
Ag 1.076 6.381 9.535
Ag 3.431 5.431 6.894
Ag 8.118 2.730 10.310
Ag 6.381 9.535 1.076
S 9.351 1.224 1.384
S 10.294 4.989 0.317
S 7.784 8.132 2.479
S 4.081 9.227 4.046
S 4.046 4.081 9.227
S 4.989 0.317 10.294
S 0.317 10.294 4.989
S 6.565 9.386 6.689
S 6.552 1.247 4.059
S 5.622 5.622 5.622
S 1.384 9.351 1.224
S 6.530 3.921 1.259
S 8.132 2.479 7.784
S 2.479 7.784 8.132
S 9.364 9.364 9.364
S 4.059 6.552 1.247
S 1.247 4.059 6.552
S 3.921 1.259 6.530
S 9.386 6.689 6.565
S 1.259 6.530 3.921
S 9.227 4.046 4.081
S 1.224 1.384 9.351
S 6.689 6.565 9.386
S 2.826 2.826 2.826
As 10.569 5.347 5.264
As 0.041 0.041 0.041
As 5.264 10.569 5.347
As 5.347 5.264 10.569
```


How do the energies compare? Relative to the most stable structure, in kJ/mol of atoms: run a 10.0; run b 0.0.


Run a
DFT (PBE-GGA) results for a geometry-optimized AgAs3S structure.

Computed properties:
spin magnetization	1.11	μB/f.u.
calculated volume	24.8	Å³ per atom

Geometry as extended XYZ:
```
5
Lattice="4.989 0.000 0.000 0.000 4.989 0.000 0.000 0.000 4.989" Properties=species:S:1:pos:R:3 pbc="T T T"
Ag 0.000 0.000 0.000
As 0.000 0.000 2.494
As 0.000 2.494 0.000
As 2.494 0.000 0.000
S 2.494 2.494 2.494
```


Run b
DFT (PBE-GGA) results for a geometry-optimized AgAs3S structure.

Computed properties:
spin magnetization	0.00	μB/f.u.
calculated volume	22.4	Å³ per atom

Geometry as extended XYZ:
```
5
Lattice="-4.649 1.248 -0.216 -0.039 -0.961 -4.721 -1.266 -4.553 0.938" Properties=species:S:1:pos:R:3 pbc="T T T"
Ag -2.977 -2.133 -1.999
S 0.000 0.000 0.000
As -0.633 -2.277 0.469
As -2.324 0.624 -0.108
As -0.020 -0.481 -2.361
```


How do the energies compare? Relative to the most stable structure, in kJ/mol of atoms: run a 38.9; run b 0.0.


Run a
DFT (PBE-GGA) results for a geometry-optimized Ag2AsS3 structure.

Computed properties:
spin magnetization	0.00	μB/f.u.
calculated volume	23.4	Å³ per atom

Geometry as extended XYZ:
```
6
Lattice="-2.854 -1.755 -2.744 4.204 -1.930 -3.139 -0.624 -3.071 6.030" Properties=species:S:1:pos:R:3 pbc="T T T"
S -0.027 -3.354 2.173
S 0.245 -0.113 -0.183
S 0.629 -3.345 -1.932
Ag -0.419 -4.696 0.022
Ag 3.091 -2.953 -1.327
As -0.370 -1.362 -2.161
```


Run b
DFT (PBE-GGA) results for a geometry-optimized Ag2AsS3 structure.

Computed properties:
spin magnetization	0.00	μB/f.u.
calculated volume	23.8	Å³ per atom

Geometry as extended XYZ:
```
12
Lattice="5.905 0.000 0.000 -2.953 8.542 -4.036 0.000 -1.772 6.488" Properties=species:S:1:pos:R:3 pbc="T T T"
S 4.641 1.931 1.868
S 1.347 -0.443 1.622
S 1.264 1.045 5.112
S 1.689 5.726 -2.660
S -1.689 4.840 0.584
S 1.606 7.214 0.830
Ag 3.380 2.462 -0.178
Ag 2.525 1.576 3.066
Ag -0.428 4.309 2.630
Ag 0.428 5.195 -0.614
As 5.086 -0.443 1.622
As -2.133 7.214 0.830
```


How do the energies compare? Relative to the most stable structure, in kJ/mol of atoms: run a 0.0; run b 16.4.


Run a
DFT (PBE-GGA) results for a geometry-optimized AgAsSe2S structure.

Computed properties:
spin magnetization	1.05	μB/f.u.
calculated volume	23.3	Å³ per atom

Geometry as extended XYZ:
```
5
Lattice="4.894 0.000 0.000 0.000 4.894 0.000 0.000 0.000 4.860" Properties=species:S:1:pos:R:3 pbc="T T T"
As 0.000 0.000 2.430
Se 2.447 0.000 0.000
Se 0.000 2.447 0.000
S 0.000 0.000 0.000
Ag 2.447 2.447 2.430
```


Run b
DFT (PBE-GGA) results for a geometry-optimized AgAsSe2S structure.

Computed properties:
spin magnetization	0.00	μB/f.u.
calculated volume	25.2	Å³ per atom

Geometry as extended XYZ:
```
5
Lattice="-4.203 2.500 -1.069 -2.705 -4.041 1.187 -0.271 1.583 4.770" Properties=species:S:1:pos:R:3 pbc="T T T"
Se -2.102 1.250 -0.534
Se -1.353 -2.021 0.594
Ag 0.000 0.000 0.000
As -0.136 0.791 2.385
S -3.590 0.021 2.444
```


How do the energies compare? Relative to the most stable structure, in kJ/mol of atoms: run a 0.0; run b 40.0.


Run a
DFT (PBE-GGA) results for a geometry-optimized AgSb2As structure.

Computed properties:
spin magnetization	0.00	μB/f.u.
calculated volume	24.4	Å³ per atom

Geometry as extended XYZ:
```
4
Lattice="6.597 0.000 -0.010 4.101 5.168 0.010 -5.286 -2.715 2.866" Properties=species:S:1:pos:R:3 pbc="T T T"
Sb 4.670 2.256 0.000
Sb 0.679 0.328 0.000
As 2.082 2.518 1.438
Ag 3.330 -0.065 1.428
```


Run b
DFT (PBE-GGA) results for a geometry-optimized AgSb2As structure.

Computed properties:
spin magnetization	0.00	μB/f.u.
calculated volume	24.8	Å³ per atom

Geometry as extended XYZ:
```
4
Lattice="-1.449 3.427 1.318 -3.885 0.412 0.569 -1.009 -1.063 7.569" Properties=species:S:1:pos:R:3 pbc="T T T"
Sb -1.197 -0.491 5.875
Sb -1.590 0.708 2.323
As -4.567 1.502 8.811
Ag -3.169 1.383 4.745
```


Run c
DFT (PBE-GGA) results for a geometry-optimized AgSb2As structure.

Computed properties:
spin magnetization	0.00	μB/f.u.
calculated volume	24.5	Å³ per atom

Geometry as extended XYZ:
```
4
Lattice="-1.882 3.545 0.786 -2.780 1.477 -2.610 -6.458 -1.654 2.714" Properties=species:S:1:pos:R:3 pbc="T T T"
Sb -4.764 4.953 -1.755
Sb -8.239 2.599 0.596
Ag -5.490 1.733 0.396
As -2.849 0.789 0.273
```


Run d
DFT (PBE-GGA) results for a geometry-optimized AgSb2As structure.

Computed properties:
spin magnetization	0.00	μB/f.u.
calculated volume	23.5	Å³ per atom

Geometry as extended XYZ:
```
4
Lattice="3.048 0.450 0.000 -0.625 3.017 0.000 0.000 0.000 9.922" Properties=species:S:1:pos:R:3 pbc="T T T"
Sb 1.212 1.734 2.811
Sb 0.000 0.000 9.759
Ag 0.000 0.000 5.146
As 1.212 1.734 7.088
```


How do the energies compare? Relative to the most stable structure, in kJ/mol of atoms: run a 7.1; run b 3.1; run c 0.0; run d 13.8.